Computed, not measured: an optimized crystal structure of Ti4AgN at the PBE level of DFT.

Lattice parameters (Å, degrees): 7.6026 4.7039 6.1804 90.00 112.45 90.00
With the nearest neighbours (Å) after each atom.
Space group P2_1/c (No. 14)
Unique sites:
1 Ti 0.1110 0.2482 0.3008  2 N 2.09
2 Ti 0.2280 0.7389 0.6100  1 N 2.02
3 Ag 0.5000 0.0000 0.5000  6 Ti 2.71-2.97
4 N 0.0000 0.0000 0.5000  6 Ti 2.02-2.09

V ... 17.022 Å³ per atom
E_form (uncorrected) ... -33.1 kJ per mole of atoms
DOS at the Fermi energy ... 1.037 states/eV/atom